No. 1
VASP calculation (PBE) on crystalline AcLa2PO8 at its relaxed geometry.

## Properties
Its space-group type is P-3m1. Its crystal system is trigonal. For the electronic total energy, the calculation gives -89.7 eV/f.u.

abc: 5.328 5.328 6.758
angles: 90.00 90.00 120.00
Each line ends with the local moment (μB).
Atoms (fractional coordinates):
O: 0.667 0.333 0.452  0.47
O: 0.849 0.151 0.851  0.12
O: 0.151 0.849 0.149  0.12
O: 0.151 0.301 0.149  0.12
O: 0.301 0.151 0.851  0.12
O: 0.333 0.667 0.548  0.47
O: 0.849 0.699 0.851  0.12
O: 0.699 0.849 0.149  0.12
Ac: 0.000 0.000 0.500  -0.01
P: 0.000 0.000 0.000  -0.01
La: 0.667 0.333 0.135  0.07
La: 0.333 0.667 0.865  0.07

=====

No. 2
VASP calculation (PBE) on crystalline CoPOs at its relaxed geometry.

## Properties
Its space-group type is P3m1. Its crystal system is trigonal. The value obtained for the energy of formation from the pure elements is 0.0184 eV/atom.

abc: 3.898 3.898 2.861
angles: 90.00 90.00 120.00
Each line ends with the local moment (μB).
Atoms (fractional coordinates):
P: 0.667 0.333 0.653  -0.02
Os: 0.333 0.667 0.432  0.17
Co: 0.000 0.000 0.914  0.93

=====

No. 3
VASP calculation (PBE) on crystalline Y6Er3Mg at its relaxed geometry.

## Properties
Its space-group type is P2_1/m. Its crystal system is monoclinic. The value obtained for the energy of formation from the pure elements is 0.0214 eV/atom.

abc: 5.005 11.104 11.172
angles: 90.40 90.00 90.00
Atoms (fractional coordinates):
Y: 0.250 0.151 0.198
Y: 0.250 0.049 0.899
Y: 0.250 0.851 0.305
Y: 0.750 0.849 0.802
Y: 0.250 0.247 0.499
Y: 0.750 0.951 0.101
Y: 0.750 0.753 0.501
Y: 0.750 0.551 0.898
Y: 0.750 0.149 0.695
Y: 0.250 0.651 0.699
Y: 0.250 0.449 0.102
Y: 0.750 0.349 0.301
Er: 0.750 0.249 0.997
Er: 0.750 0.652 0.203
Er: 0.250 0.348 0.797
Er: 0.250 0.751 0.003
Er: 0.250 0.551 0.400
Er: 0.750 0.449 0.600
Mg: 0.750 0.048 0.401
Mg: 0.250 0.952 0.599

=====

V (Å³/atom)
13.8 12.6 31.0